Crystalline NpPa2CuN5 at its relaxed geometry. Source: Alexandria via LeMat-Bulk, functional GGA-PBE.

The structure in POSCAR format:
```
NpPa2CuN5
1.0
1.692 -6.623 0.000
1.692 6.623 0.000
0.000 0.000 10.371
Np Pa Cu N
2 4 2 10
Direct
0.186 0.814 0.500
0.814 0.186 0.000
0.122 0.878 0.186
0.128 0.872 0.799
0.872 0.128 0.299
0.878 0.122 0.686
0.495 0.505 0.484
0.505 0.495 0.984
0.035 0.965 0.578
0.296 0.704 0.154
0.301 0.699 0.841
0.345 0.655 0.511
0.493 0.507 0.289
0.507 0.493 0.789
0.655 0.345 0.011
0.699 0.301 0.341
0.704 0.296 0.654
0.965 0.035 0.078
```

Values from the calculation:
The total energy comes out at -0.355 hartree per atom. The value obtained for the formation energy (no corrections) is -1037 meV per atom.